(1)
KDySeO after structural relaxation, computed with GGA-PBE.

Results
The value obtained for the distance to the lowest polymorph of the same formula is 103.6 meV/atom. The calculation puts the volume at 243.7 Å³/cell.

Unit cell a=4.5412 b=8.2022 c=6.5431 alpha=90.00 beta=90.00 gamma=90.00
Atoms (fractional coordinates):
K 0.0000 0.2018 0.0000
K 0.0000 0.7982 0.5000
Dy 0.5000 0.3784 0.4215
Dy 0.5000 0.6216 0.9215
Se 0.0000 0.1997 0.5097
Se 0.0000 0.8003 0.0097
O 0.5000 0.4098 0.1015
O 0.5000 0.5902 0.6015


(2)
Dy2HoInGa2Hg3 after structural relaxation, computed with GGA-PBE.

Results
The calculation puts the volume at 208.8 Å³/cell.

Unit cell a=4.4526 b=7.3563 c=7.3563 alpha=119.96 beta=90.00 gamma=90.00
Atoms (fractional coordinates):
Dy 0.0000 0.2166 0.7834
Dy 0.0000 0.7834 0.2166
Ho 0.0000 0.3496 0.3496
In 0.0000 0.7825 0.7825
Ga 0.5000 0.1171 0.4498
Ga 0.5000 0.4498 0.1171
Hg 0.5000 0.0480 0.0480
Hg 0.5000 0.5185 0.7834
Hg 0.5000 0.7834 0.5185


In order of appearance, DFT total energy = -5.701, -3.078 eV per atom.